Record 1
A relaxed ScAl2Pb crystal. Source: the Alexandria database, functional GGA-PBEsol.

Properties
**Energy of formation from the pure elements**: -0.027 eV per formula unit
**Space-group type**: R3m, No. 160
**M_tot**: 0.00 μB per atom
**DOS at the Fermi energy**: 3.21 states/eV/f.u.

Lattice parameters (Å, degrees): 9.436 9.436 9.436 19.93 19.93 19.93
Fractional positions:
Sc (0.000, 0.000, 0.000)
Al (0.488, 0.488, 0.488)
Al (0.748, 0.748, 0.748)
Pb (0.242, 0.242, 0.242)

Record 2
A relaxed Ca2TeRh crystal. Source: the Alexandria database, functional GGA-PBEsol.

Properties
**Space-group type**: Amm2, No. 38
**M_tot**: 0.00 μB per atom
**ΔE_f (raw)**: -753 meV per atom
**DOS at the Fermi energy**: 3.56 states/eV/f.u.

Lattice parameters (Å, degrees): 4.291 5.862 5.862 42.44 90.00 90.00
Fractional positions:
Ca (0.000, 0.000, 0.000)
Ca (0.500, 0.286, 0.286)
Te (0.000, 0.710, 0.710)
Rh (0.500, 0.567, 0.567)

Q: Among the records above, which one has the lowest DOS at the Fermi energy?
A: ScAl2Pb

Copy entry 2 word for word.
A relaxed Ca2TeRh crystal. Source: the Alexandria database, functional GGA-PBEsol.

Properties
**Space-group type**: Amm2, No. 38
**M_tot**: 0.00 μB per atom
**ΔE_f (raw)**: -753 meV per atom
**DOS at the Fermi energy**: 3.56 states/eV/f.u.

Lattice parameters (Å, degrees): 4.291 5.862 5.862 42.44 90.00 90.00
Fractional positions:
Ca (0.000, 0.000, 0.000)
Ca (0.500, 0.286, 0.286)
Te (0.000, 0.710, 0.710)
Rh (0.500, 0.567, 0.567)

Q: Look up the M_tot of the second one.
A: 0.00 μB per atom